[1]
# PmPrZnIn | the Alexandria database | PBE | relaxed
data_PmPrZnIn
_symmetry_space_group_name_H-M 'P 4 m m'
_symmetry_Int_Tables_number 99
_cell_length_a 3.7451
_cell_length_b 3.7451
_cell_length_c 7.7327
_cell_angle_alpha 90.00
_cell_angle_beta 90.00
_cell_angle_gamma 90.00
loop_
_symmetry_equiv_pos_as_xyz
'x,y,z'
'-y,x,z'
'-x,-y,z'
'y,-x,z'
'-x,y,z'
'y,x,z'
'x,-y,z'
'-y,-x,z'
loop_
_atom_site_label
_atom_site_fract_x
_atom_site_fract_y
_atom_site_fract_z
_atom_site_occupancy
Pm1 0.0000 0.0000 0.0000 1
Pr1 0.0000 0.0000 0.4620 1
Zn1 0.5000 0.5000 0.2226 1
In1 0.5000 0.5000 0.7364 1
# - energy of formation (eV/atom) = -0.402
# - polymorph energy (0 for the lowest one) (kJ/mol of atoms) = 0.0

[2]
# CdGa2Bi | the Alexandria database | PBE | relaxed
data_CdGa2Bi
_symmetry_space_group_name_H-M 'F m -3 m'
_symmetry_Int_Tables_number 225
_symmetry_space_group_name_Hall '-F 4 2 3'
_cell_length_a 7.3335
_cell_length_b 7.3335
_cell_length_c 7.3335
_cell_angle_alpha 90.00
_cell_angle_beta 90.00
_cell_angle_gamma 90.00
loop_
_atom_site_label
_atom_site_fract_x
_atom_site_fract_y
_atom_site_fract_z
_atom_site_occupancy
Cd1 0.0000 0.0000 0.0000 1
Ga1 0.2500 0.2500 0.2500 1
Bi1 0.0000 0.0000 0.5000 1
# - energy of formation (eV/atom) = 0.078
# - polymorph energy (0 for the lowest one) (kJ/mol of atoms) = 1.2

[3]
# Dy2GaCo | the Alexandria database | PBE | relaxed
data_Dy2GaCo
_symmetry_space_group_name_H-M 'F m -3 m'
_symmetry_Int_Tables_number 225
_symmetry_space_group_name_Hall '-F 4 2 3'
_cell_length_a 6.9569
_cell_length_b 6.9569
_cell_length_c 6.9569
_cell_angle_alpha 90.00
_cell_angle_beta 90.00
_cell_angle_gamma 90.00
loop_
_atom_site_label
_atom_site_fract_x
_atom_site_fract_y
_atom_site_fract_z
_atom_site_occupancy
Dy1 0.2500 0.2500 0.2500 1
Ga1 0.0000 0.0000 0.0000 1
Co1 0.0000 0.0000 0.5000 1
# - energy of formation (eV/atom) = -0.324
# - polymorph energy (0 for the lowest one) (kJ/mol of atoms) = 7.6

[4]
# CeAl4Au8 | the Alexandria database | PBE | relaxed
data_CeAl4Au8
_symmetry_space_group_name_H-M 'I 4/m m m'
_symmetry_Int_Tables_number 139
_symmetry_space_group_name_Hall '-I 4 2'
_cell_length_a 9.2915
_cell_length_b 9.2915
_cell_length_c 5.5215
_cell_angle_alpha 90.00
_cell_angle_beta 90.00
_cell_angle_gamma 90.00
loop_
_atom_site_label
_atom_site_fract_x
_atom_site_fract_y
_atom_site_fract_z
_atom_site_occupancy
Ce1 0.0000 0.0000 0.0000 1
Al1 0.2500 0.2500 0.2500 1
Au1 0.0000 0.2187 0.5000 1
Au2 0.0000 0.3282 0.0000 1
# - energy of formation (eV/atom) = -0.449

Magnetic moment / μB per cell: 0.00 0.00 4.13 1.66
Calculated volume / A^3/atom: 27.114 24.650 21.044 18.334